Here is a relaxed Cd2In7SnHg2 crystal from Alexandria via LeMat-Bulk. Energies are from PBE-GGA.

Lattice parameters (Å, degrees): 4.736 5.206 14.658 100.23 99.30 90.00
Atoms (fractional coordinates):
In  0.422  0.922  0.845
In  0.076  0.573  0.153
In  0.500  0.500  0.000
In  0.250  0.252  0.501
In  0.578  0.077  0.155
In  0.924  0.420  0.847
In  0.750  0.751  0.499
Sn  0.000  0.998  0.000
Hg  0.642  0.644  0.284
Hg  0.358  0.359  0.716
Cd  0.688  0.189  0.375
Cd  0.312  0.814  0.625

Summary:
Space-group type ... Imm2, No. 44
V ... 29.2 Å³/atom
Formation enthalpy at 0 K ... 0.92 eV/f.u.